Below is crystalline K3RbMo2O8 at its relaxed geometry, with properties calculated at the PBE with a Hubbard U level.

Unit cell a=6.4223 b=6.4223 c=8.3471 alpha=90.00 beta=90.00 gamma=120.00
With the nearest neighbours (Å) after each atom.
Fractional coordinates of all 14 atoms:
K  0.0000  0.0000  0.0000  6 O 3.04
K  0.3333  0.6667  0.6829  1 O 2.50
K  0.6667  0.3333  0.3171  1 O 2.50
Rb  0.0000  0.0000  0.5000  6 O 2.77
Mo  0.3333  0.6667  0.1968  4 O 1.79-1.80
Mo  0.6667  0.3333  0.8032  4 O 1.79-1.80
O  0.1816  0.3631  0.2726  1 Mo 1.80
O  0.1816  0.8184  0.2726  1 Mo 1.80
O  0.3333  0.6667  0.9828  1 Mo 1.79
O  0.3631  0.1816  0.7274  1 Mo 1.80
O  0.6369  0.8184  0.2726  1 Mo 1.80
O  0.6667  0.3333  0.0172  1 Mo 1.79
O  0.8184  0.1816  0.7274  1 Mo 1.80
O  0.8184  0.6369  0.7274  1 Mo 1.80

Properties
symmetry	P-3m1
total energy	-0.441	Ry per atom